[1]
Computed, not measured: a geometry-optimized Ac3Sm3Ho structure at the PBE-GGA level of DFT.

Cell lengths 9.3774, 10.3292, 11.2651 Å; angles 90.00, 91.51, 90.00 degrees
Closest atoms and distances in Å follow each position.
Space group C2/m (No. 12)
Inequivalent atoms, fractional coordinates:
Ac  0.1696  0.0000  0.4189 (multiplicity 4)  1 Ho 3.50, 4 Sm 3.68-3.83, 1 Ac 3.71
Ac  0.1948  0.1833  0.7506 (multiplicity 8)  2 Ho 3.63-3.65, 4 Sm 3.63-3.96, 2 Ac 3.79-4.01
Sm  0.0000  0.3138  0.0000 (multiplicity 4)  2 Ho 3.37, 4 Sm 3.63-3.70, 2 Ac 3.65
Sm  0.0000  0.3245  0.5000 (multiplicity 4)  2 Ho 3.41, 1 Sm 3.63, 4 Ac 3.63-3.68
Sm  0.1797  0.0000  0.0559 (multiplicity 4)  1 Ho 3.42, 5 Sm 3.57-3.70
Ho  0.0277  0.5000  0.7559 (multiplicity 4)  5 Sm 3.37-3.42, 5 Ac 3.50-3.65

Output
M_tot: 0.00 μB per formula unit
total energy: -4.32 eV/atom
ΔH_f (0 K): 0.11 eV/atom

=====

[2]
Computed, not measured: a geometry-optimized Rb3Hg2S4 structure at the PBE-GGA level of DFT.

Cell lengths 15.6255, 4.1035, 10.1507 Å; angles 90.00, 119.36, 90.00 degrees
Closest atoms and distances in Å follow each position.
Space group C2/m (No. 12)
Inequivalent atoms, fractional coordinates:
Rb  0.0000  0.0000  0.0000 (multiplicity 2)  4 S 3.30, 4 Hg 3.68
Rb  0.1223  0.5000  0.7206 (multiplicity 4)  5 S 3.31-3.60
Hg  0.1647  0.5000  0.3289 (multiplicity 4)  3 S 2.43-2.57
S  0.1087  0.0000  0.4197 (multiplicity 4)  2 Hg 2.57
S  0.1884  0.5000  0.1092 (multiplicity 4)  1 Hg 2.43

Output
M_tot: 0.16 μB per formula unit
ΔE_f (raw): -0.59 eV per atom
total energy: -2.82 eV/atom

=====

[3]
Computed, not measured: a geometry-optimized LiIr2Rh6 structure at the PBE-GGA level of DFT.

Cell lengths 2.7017, 7.2560, 13.4802 Å; angles 90.00, 90.00, 90.00 degrees
Closest atoms and distances in Å follow each position.
Space group Immm (No. 71)
Inequivalent atoms, fractional coordinates:
Li  0.0000  0.0000  0.0000 (multiplicity 2)  4 Rh 2.67, 2 Li 2.70
Ir  0.0000  0.5000  0.1457 (multiplicity 4)  2 Ir 2.70, 10 Rh 2.73-2.74
Rh  0.0000  0.1824  0.5000 (multiplicity 4)  5 Rh 2.57-2.70, 2 Li 2.67, 4 Ir 2.73
Rh  0.0000  0.3227  0.3247 (multiplicity 8)  6 Rh 2.57-2.70, 3 Ir 2.73-2.74

Output
M_tot: 0.00 μB per formula unit
total energy: -6.95 eV/atom
ΔH_f (0 K): 0.14 eV/atom

=====

[4]
Computed, not measured: a geometry-optimized NpInTcRu structure at the PBE-GGA level of DFT.

Cell lengths 6.6066, 6.6066, 6.6066 Å; angles 90.00, 90.00, 90.00 degrees
Closest atoms and distances in Å follow each position.
Space group F-43m (No. 216)
Inequivalent atoms, fractional coordinates:
Np  0.0000  0.0000  0.0000 (multiplicity 4)  4 Ru 2.86, 4 Tc 2.86
In  0.0000  0.0000  0.5000 (multiplicity 4)  4 Tc 2.86, 4 Ru 2.86
Tc  0.2500  0.2500  0.2500 (multiplicity 4)  4 Np 2.86, 4 In 2.86
Ru  0.2500  0.2500  0.7500 (multiplicity 4)  4 In 2.86, 4 Np 2.86

Output
M_tot: 2.31 μB per formula unit
total energy: -8.82 eV/atom
ΔH_f (0 K): 0.01 eV/atom

=====

[5]
Computed, not measured: a geometry-optimized Nb3HgP structure at the PBE-GGA level of DFT.

Cell lengths 4.6483, 4.6483, 4.6483 Å; angles 90.00, 90.00, 90.00 degrees
Closest atoms and distances in Å follow each position.
Space group Pm-3m (No. 221)
Inequivalent atoms, fractional coordinates:
Nb  0.0000  0.0000  0.5000 (multiplicity 3)  2 P 2.32
Hg  0.5000  0.5000  0.5000 (multiplicity 1)  12 Nb 3.29
P  0.0000  0.0000  0.0000 (multiplicity 1)  6 Nb 2.32

Output
M_tot: 0.00 μB per formula unit
total energy: -6.96 eV/atom
ΔH_f (0 K): 0.22 eV/atom

=====

[6]
Computed, not measured: a geometry-optimized AcMgHg structure at the PBE-GGA level of DFT.

Cell lengths 7.3920, 7.3920, 7.3920 Å; angles 90.00, 90.00, 90.00 degrees
Closest atoms and distances in Å follow each position.
Space group F-43m (No. 216)
Inequivalent atoms, fractional coordinates:
Ac  0.0000  0.0000  0.0000 (multiplicity 4)  4 Hg 3.20
Mg  0.0000  0.0000  0.5000 (multiplicity 4)  4 Hg 3.20
Hg  0.2500  0.2500  0.2500 (multiplicity 4)  4 Ac 3.20, 4 Mg 3.20

Output
M_tot: 0.00 μB per formula unit
total energy: -2.23 eV/atom
ΔH_f (0 K): -0.23 eV/atom

=====

[7]
Computed, not measured: a geometry-optimized Sc2SbP structure at the PBE-GGA level of DFT.

Cell lengths 5.1723, 5.1723, 6.0988 Å; angles 90.00, 90.00, 90.00 degrees
Closest atoms and distances in Å follow each position.
Space group I4/mmm (No. 139)
Inequivalent atoms, fractional coordinates:
Sc  0.0000  0.5000  0.2500 (multiplicity 4)  4 Sb 3.00, 4 P 3.00, 2 Sc 3.05
Sb  0.0000  0.0000  0.0000 (multiplicity 2)  8 Sc 3.00, 2 P 3.05
P  0.0000  0.0000  0.5000 (multiplicity 2)  8 Sc 3.00, 2 Sb 3.05

Output
M_tot: 0.00 μB per formula unit
ΔE_f (raw): -0.71 eV per atom
total energy: -6.26 eV/atom

=====

[8]
Computed, not measured: a geometry-optimized K2TaBe2O6 structure at the PBE-GGA level of DFT.

Cell lengths 5.4588, 5.4588, 17.3689 Å; angles 90.00, 90.00, 120.00 degrees
Closest atoms and distances in Å follow each position.
Space group R-3m (No. 166, hexagonal axes)
Inequivalent atoms, fractional coordinates:
K  0.0000  0.0000  0.2112 (multiplicity 6)  9 O 2.89-2.97
Ta  0.0000  0.0000  0.0000 (multiplicity 3)  6 O 2.00
Be  0.0000  0.0000  0.4018 (multiplicity 6)  3 O 1.54
O  0.0081  0.5041  0.2655 (multiplicity 18)  1 Be 1.54

Output
M_tot: 0.49 μB per formula unit
ΔE_f (raw): -2.32 eV per atom
total energy: -6.98 eV/atom

=====

[9]
Computed, not measured: a geometry-optimized Li2ZrPd3 structure at the PBE-GGA level of DFT.

Cell lengths 4.4709, 4.4709, 10.8841 Å; angles 90.00, 90.00, 120.00 degrees
Closest atoms and distances in Å follow each position.
Space group P-3m1 (No. 164)
Inequivalent atoms, fractional coordinates:
Li  0.0000  0.0000  0.0000 (multiplicity 1)  8 Pd 2.60-2.72
Li  0.0000  0.0000  0.5000 (multiplicity 1)  8 Pd 2.74-2.84
Li  0.3333  0.6667  0.1567 (multiplicity 2)  8 Pd 2.57-2.82
Zr  0.3333  0.6667  0.6737 (multiplicity 2)  8 Pd 2.69-2.81
Pd  0.0000  0.0000  0.2390 (multiplicity 2)  5 Li 2.60-2.84, 3 Zr 2.75
Pd  0.3333  0.6667  0.4155 (multiplicity 2)  4 Li 2.74-2.82, 4 Zr 2.76-2.81
Pd  0.3333  0.6667  0.9205 (multiplicity 2)  7 Li 2.57-2.72, 1 Zr 2.69

Output
M_tot: 0.00 μB per formula unit
total energy: -5.20 eV/atom
ΔH_f (0 K): -0.54 eV/atom

=====

[10]
Computed, not measured: a geometry-optimized RhAu structure at the PBE-GGA level of DFT.

Cell lengths 10.7908, 2.8266, 6.6408 Å; angles 90.00, 105.93, 90.00 degrees
Closest atoms and distances in Å follow each position.
Space group Cm (No. 8)
Inequivalent atoms, fractional coordinates:
Rh  0.0000  0.0000  0.0000 (multiplicity 2)  5 Rh 2.69-2.89, 7 Au 2.80-2.95
Rh  0.0488  0.0000  0.5935 (multiplicity 2)  5 Rh 2.70-2.89, 6 Au 2.80-2.87
Rh  0.4039  0.0000  0.2666 (multiplicity 2)  6 Rh 2.69-2.83, 6 Au 2.83-2.98
Au  0.1737  0.5000  0.3284 (multiplicity 2)  5 Au 2.80-2.83, 7 Rh 2.83-2.98
Au  0.2187  0.5000  0.9333 (multiplicity 2)  5 Au 2.80-2.87, 7 Rh 2.86-2.95
Au  0.3407  0.0000  0.6635 (multiplicity 2)  6 Rh 2.80-3.06, 6 Au 2.83-2.87

Output
M_tot: 0.61 μB per formula unit
total energy: -5.11 eV/atom
ΔH_f (0 K): 0.21 eV/atom

=====

[11]
Computed, not measured: a geometry-optimized TbHfGe2 structure at the PBE-GGA level of DFT.

Cell lengths 3.9516, 3.9516, 19.9998 Å; angles 90.00, 90.00, 120.00 degrees
Closest atoms and distances in Å follow each position.
Space group R-3m (No. 166, hexagonal axes)
Inequivalent atoms, fractional coordinates:
Tb  0.0000  0.0000  0.0000 (multiplicity 3)  6 Ge 2.91
Hf  0.0000  0.0000  0.5000 (multiplicity 3)  6 Ge 2.74
Ge  0.0000  0.0000  0.2428 (multiplicity 6)  3 Hf 2.74, 3 Tb 2.91

Output
M_tot: 0.00 μB per formula unit
total energy: -6.62 eV/atom
ΔH_f (0 K): -0.66 eV/atom

=====

[12]
Computed, not measured: a geometry-optimized Pm5Y2Ho6 structure at the PBE-GGA level of DFT.

Cell lengths 11.6822, 20.4716, 3.5899 Å; angles 90.00, 90.00, 90.00 degrees
Closest atoms and distances in Å follow each position.
Space group Pbam (No. 55)
Inequivalent atoms, fractional coordinates:
Pm  0.0000  0.0000  0.0000 (multiplicity 2)  6 Ho 3.38-3.45, 4 Pm 3.59-3.66
Pm  0.0878  0.2740  0.0000 (multiplicity 4)  5 Ho 3.33-3.49, 4 Y 3.51-3.59, 2 Pm 3.59
Pm  0.1996  0.5503  0.0000 (multiplicity 4)  6 Ho 3.56-3.62, 3 Pm 3.59-3.66, 2 Y 3.77
Y  0.1693  0.7112  0.5000 (multiplicity 4)  3 Ho 3.35-3.61, 4 Pm 3.51-3.59, 2 Y 3.59
Ho  0.0598  0.4193  0.5000 (multiplicity 4)  6 Pm 3.49-3.62, 5 Ho 3.59-3.75, 1 Y 3.78
Ho  0.0800  0.1322  0.5000 (multiplicity 4)  1 Y 3.35, 6 Pm 3.38-3.56, 4 Ho 3.48-3.59
Ho  0.1755  0.8642  0.0000 (multiplicity 4)  2 Pm 3.33-3.45, 4 Ho 3.48-3.59, 2 Y 3.61

Output
M_tot: 0.00 μB per formula unit
total energy: -4.84 eV/atom
ΔH_f (0 K): 0.09 eV/atom

=====

[13]
Computed, not measured: a geometry-optimized Sr2Ga4Ir3Pt structure at the PBE-GGA level of DFT.

Cell lengths 4.3190, 4.3190, 10.5035 Å; angles 90.00, 90.00, 90.00 degrees
Closest atoms and distances in Å follow each position.
Space group P-4m2 (No. 115)
Inequivalent atoms, fractional coordinates:
Sr  0.0000  0.5000  0.2472 (multiplicity 2)  8 Ga 3.30-3.42, 6 Ir 3.32-3.38, 2 Pt 3.38
Ga  0.0000  0.0000  0.5000 (multiplicity 1)  4 Ir 2.55
Ga  0.0000  0.5000  0.8708 (multiplicity 2)  3 Ir 2.54-2.55, 2 Pt 2.55
Ga  0.5000  0.5000  0.5000 (multiplicity 1)  4 Ir 2.55
Ir  0.0000  0.0000  0.0000 (multiplicity 1)  4 Ga 2.55
Ir  0.0000  0.5000  0.6289 (multiplicity 2)  5 Ga 2.54-2.55
Pt  0.5000  0.5000  0.0000 (multiplicity 1)  4 Ga 2.55

Output
M_tot: 0.00 μB per formula unit
total energy: -5.44 eV/atom
ΔH_f (0 K): -0.63 eV/atom